# 1
This record from the Open Quantum Materials Database describes a relaxed PuTh crystal. The functional is GGA-PBE.

```
2
Lattice="0.000 3.223 3.223 3.223 0.000 3.223 3.223 3.223 0.000" Properties=species:S:1:pos:R:3 pbc="T T T"
Th 1.611 1.611 1.611
Pu 0.000 0.000 0.000
```

Summary:
Offset from the most stable computed form, kJ/mol of atoms: 129.6
Energy of formation from the pure elements, eV/atom: 1.46
E, eV/atom: -9.310

***

# 2
This record from the Open Quantum Materials Database describes a relaxed Pm2ScNO2 crystal. The functional is GGA-PBE.

```
6
Lattice="-2.042 -0.892 2.585 3.333 -0.718 0.132 1.449 7.408 3.701" Properties=species:S:1:pos:R:3 pbc="T T T"
Pm 0.229 1.616 2.991
Pm 2.512 4.181 3.427
O 1.730 0.185 1.430
O 1.011 5.613 4.988
Sc 0.000 0.000 0.000
N 0.725 3.704 1.851
```

Summary:
E, eV/atom: -8.083

***

# 3
This record from the Open Quantum Materials Database describes a relaxed LiGaCuSi crystal. The functional is GGA-PBE.

```
4
Lattice="2.901 -2.467 1.985 2.508 1.672 3.059 -0.582 -1.121 4.105" Properties=species:S:1:pos:R:3 pbc="T T T"
Ga 2.413 -0.958 4.574
Si 0.000 0.000 0.000
Li 3.620 -1.437 6.862
Cu 1.207 -0.479 2.287
```

Summary:
Offset from the most stable computed form, kJ/mol of atoms: 0.0
E, eV/atom: -3.559

***

# 4
This record from the Open Quantum Materials Database describes a relaxed CsMgZn crystal. The functional is GGA-PBE.

```
3
Lattice="3.917 1.363 4.098 2.419 5.305 0.072 -1.387 3.780 4.217" Properties=species:S:1:pos:R:3 pbc="T T T"
Zn 3.712 7.836 6.290
Cs 1.237 2.612 2.097
Mg 0.000 0.000 0.000
```

Summary:
E, eV/atom: -0.748

***

# 5
This record from the Open Quantum Materials Database describes a relaxed CsReCl4 crystal. The functional is GGA-PBE.

```
36
Lattice="-7.018 4.531 5.499 6.911 2.513 6.778 1.813 9.185 -5.254" Properties=species:S:1:pos:R:3 pbc="T T T"
Cl 3.900 2.171 4.613
Cl -0.441 8.309 8.888
Cl 3.189 10.569 3.125
Cl 2.023 10.616 6.096
Cl 4.719 6.322 2.239
Cl 1.713 5.319 1.114
Cl 2.296 5.112 4.245
Cl 6.026 9.494 2.224
Cl -3.109 10.511 0.850
Cl -4.032 7.000 5.361
Cl -2.572 13.564 2.516
Cl -1.575 5.720 7.273
Cl 5.595 12.930 3.125
Cl -3.210 10.335 4.363
Cl -1.030 8.484 5.691
Cl 1.169 2.563 2.691
Cl -3.450 7.106 1.892
Cl 5.113 5.369 5.665
Cl 2.567 13.373 4.519
Cl -0.638 8.233 1.022
Cl 0.537 8.154 -2.013
Cl 4.776 8.779 5.499
Cl -4.088 3.877 3.739
Cl -0.092 10.998 -0.559
Cs 2.069 6.839 7.185
Cs -0.194 11.275 3.191
Cs 3.013 8.901 0.148
Cs -6.106 9.123 2.873
Cs -7.013 4.530 5.500
Cs -1.081 5.386 3.558
Re 5.173 10.848 4.297
Re -2.214 10.476 -1.404
Re -2.628 8.382 -0.205
Re 4.296 4.256 3.439
Re -3.580 6.839 7.738
Re -3.167 8.934 6.540
```

Summary:
E, eV/atom: -4.576

***

# 6
This record from the Open Quantum Materials Database describes a relaxed CsLuCuSe3 crystal. The functional is GGA-PBE.

```
12
Lattice="9.666 0.000 0.000 0.000 4.040 0.000 -4.076 0.000 9.236" Properties=species:S:1:pos:R:3 pbc="T T T"
Cu -1.672 1.010 5.580
Cu 7.262 3.030 3.656
Se -2.276 1.010 7.937
Se 5.971 1.010 4.187
Se 7.866 3.030 1.299
Se 3.958 3.030 1.477
Se -0.380 3.030 5.049
Se 1.632 1.010 7.759
Cs 1.071 1.010 2.282
Cs 4.519 3.030 6.954
Lu -0.331 3.030 7.928
Lu 5.922 1.010 1.308
```

Summary:
E, eV/atom: -4.441

***

# 7
This record from the Open Quantum Materials Database describes a relaxed LaAgPO crystal. The functional is GGA-PBE.

```
8
Lattice="-2.757 4.035 -0.254 -2.078 -1.796 -5.970 -3.571 -2.318 1.940" Properties=species:S:1:pos:R:3 pbc="T T T"
La -1.953 1.522 -1.760
La -4.678 -0.449 -3.488
O -2.681 0.894 -3.845
O -3.954 0.178 -1.402
Ag -2.544 -1.813 -1.190
Ag -1.331 -1.149 -3.804
P -0.891 -0.579 0.478
P -4.751 -3.530 -4.512
```

Summary:
Offset from the most stable computed form, kJ/mol of atoms: 27.2
E, eV/atom: -5.893

***

# 8
This record from the Open Quantum Materials Database describes a relaxed Ta2AlW crystal. The functional is GGA-PBE.

```
4
Lattice="0.000 3.235 3.235 3.235 0.000 3.235 3.235 3.235 0.000" Properties=species:S:1:pos:R:3 pbc="T T T"
Ta 1.617 1.617 1.617
Ta 3.235 3.235 3.235
W 4.852 4.852 4.852
Al 0.000 0.000 0.000
```

Summary:
E, eV/atom: -10.045

***

# 9
This record from the Open Quantum Materials Database describes a relaxed Ho2ErNi9 crystal. The functional is GGA-PBE.

```
12
Lattice="-4.658 7.179 0.124 -0.630 8.058 2.816 -0.406 8.288 -2.097" Properties=species:S:1:pos:R:3 pbc="T T T"
Er 0.000 0.000 0.000
Ni -2.847 11.763 0.421
Ni -0.984 10.103 0.429
Ni -2.694 13.861 1.762
Ni -2.582 13.977 -0.698
Ni -1.896 7.832 0.281
Ni -3.798 15.693 0.562
Ni -3.000 9.664 -0.919
Ni -3.112 9.549 1.540
Ni -4.710 13.422 0.414
Ho -4.903 20.256 0.726
Ho -0.791 3.269 0.117
```

Summary:
Energy of formation from the pure elements, eV/atom: -0.43
E, eV/atom: -5.748

***

# 10
This record from the Open Quantum Materials Database describes a relaxed Mo4PbC2S crystal. The functional is GGA-PBE.

```
8
Lattice="3.236 0.000 0.000 -1.618 2.803 0.000 0.000 0.000 12.722" Properties=species:S:1:pos:R:3 pbc="T T T"
Mo 0.000 0.000 8.137
Mo 0.000 0.000 4.585
Mo 1.618 0.934 10.262
Mo 1.618 0.934 2.460
S 1.618 0.934 6.361
Pb 0.000 0.000 0.000
C 0.000 1.868 3.423
C 0.000 1.868 9.299
```

Summary:
E, eV/atom: -8.658

***

# 11
This record from the Open Quantum Materials Database describes a relaxed PaOsNO crystal. The functional is GGA-PBE.

```
8
Lattice="3.781 0.000 0.000 0.000 3.781 0.000 0.000 0.000 7.495" Properties=species:S:1:pos:R:3 pbc="T T T"
Os 1.890 1.890 3.747
Os 0.000 0.000 3.747
Pa 1.890 0.000 1.415
Pa 0.000 1.890 6.080
O 0.000 0.000 0.000
O 1.890 1.890 0.000
N 1.890 0.000 4.920
N 0.000 1.890 2.575
```

Summary:
Offset from the most stable computed form, kJ/mol of atoms: 38.4
E, eV/atom: -9.042

***

# 12
This record from the Open Quantum Materials Database describes a relaxed NbTlSeO crystal. The functional is GGA-PBE.

```
8
Lattice="-4.885 -3.659 2.561 1.221 -2.661 -1.474 5.059 -1.688 7.237" Properties=species:S:1:pos:R:3 pbc="T T T"
Se -1.338 -3.761 2.038
Se 4.370 -3.021 5.428
O 1.090 -1.849 4.240
O -1.216 -3.724 5.716
Nb 2.862 -1.189 4.517
Nb -0.677 -2.652 4.227
Tl 1.061 -1.923 0.707
Tl 1.959 -4.868 6.765
```

Summary:
Offset from the most stable computed form, kJ/mol of atoms: 1.2
E, eV/atom: -6.249